This record from Alexandria describes a relaxed Sr2Ca6Pm crystal. The functional is PBE-GGA.

a b c (Å): 3.9145 3.9145 29.5648
angles (deg): 90.00 90.00 120.00
Atoms (fractional coordinates):
Ca 0.3333 0.6667 0.4388
Pm 0.3333 0.6667 0.0000
Ca 0.3333 0.6667 0.5612
Sr 0.6667 0.3333 0.6745
Sr 0.6667 0.3333 0.3255
Ca 0.6667 0.3333 0.8981
Ca 0.6667 0.3333 0.1019
Ca 0.3333 0.6667 0.2109
Ca 0.3333 0.6667 0.7891

## Properties
Crystal system: hexagonal
Formation enthalpy at 0 K (eV per atom): 0.075